(1)
Here is a geometry-optimized Ba2ErCu2S4 structure from Alexandria. Energies are from PBE-GGA.

Lattice parameters (Å, degrees): 7.621 7.621 7.340 109.37 109.37 30.18
Atoms (fractional coordinates):
Ba 0.135 0.135 0.065
Ba 0.865 0.865 0.935
Er 0.000 0.000 0.500
Cu 0.321 0.321 0.509
Cu 0.679 0.679 0.491
S 0.199 0.199 0.680
S 0.479 0.479 0.742
S 0.521 0.521 0.258
S 0.801 0.801 0.320

As for the space group: C2/m, No. 12. As for the uncorrected formation energy: -31.5 kcal/mol of atoms. The density comes out at 5.753 g/cm3.

(2)
Here is a geometry-optimized LiY2ScTl4 structure from Alexandria. Energies are from PBE-GGA.

Lattice parameters (Å, degrees): 9.146 9.146 9.146 32.93 32.93 32.93
Atoms (fractional coordinates):
Li 0.000 0.000 0.000
Y 0.253 0.253 0.253
Y 0.747 0.747 0.747
Sc 0.500 0.500 0.500
Tl 0.125 0.125 0.125
Tl 0.374 0.374 0.374
Tl 0.626 0.626 0.626
Tl 0.875 0.875 0.875

As for the space group: R-3m, No. 166. Its energy is -4.145 eV per atom. The density comes out at 8.644 g/cm3.

(3)
Here is a geometry-optimized Li7TmTl4 structure from Alexandria. Energies are from PBE-GGA.

Lattice parameters (Å, degrees): 6.061 6.061 10.216 116.60 116.60 51.71
Atoms (fractional coordinates):
Li 0.000 0.000 0.000
Li 0.162 0.162 0.621
Li 0.177 0.177 0.899
Li 0.393 0.393 0.551
Li 0.607 0.607 0.449
Li 0.823 0.823 0.101
Li 0.838 0.838 0.379
Tm 0.500 0.500 0.000
Tl 0.104 0.104 0.310
Tl 0.323 0.323 0.203
Tl 0.677 0.677 0.797
Tl 0.896 0.896 0.690

As for the space group: C2/m, No. 12. Its energy is -2.335 eV per atom. The density comes out at 6.727 g/cm3.

> What is the formula in the second record?

LiY2ScTl4